Compound: LiTi5Se8
Source: the Alexandria database
Functional: PBE
Structure: relaxed

- Fermi-level density of states (states/eV/atom) = 0.62
- ΔE_f (raw) (eV/atom) = -1.057
- final energy (eV per atom) = -6.00

Lattice parameters (Å, degrees): 10.7282 10.7282 10.7282 90.00 90.00 90.00
Closest atoms and distances in Å follow each position.
Space group F-43m (No. 216)
Unique sites:
Li 0.0000 0.0000 0.0000 [4 per cell]  4 Se 2.34
Ti 0.1424 0.1424 0.3576 [16 per cell]  3 Se 2.50
Ti 0.2500 0.2500 0.7500 [4 per cell]  4 Se 2.48
Se 0.1165 0.1165 0.6165 [16 per cell]  1 Ti 2.48
Se 0.1259 0.1259 0.1259 [16 per cell]  1 Li 2.34, 3 Ti 2.50